Computed, not measured: Mg4ZnTc after structural relaxation at the PBE level of DFT.

Cell: 5.4563 5.4563 5.4563 Å, 60.00 60.00 60.00°
Fractional coordinates of all 6 atoms:
Mg (0.1243, 0.1243, 0.1243)
Mg (0.1243, 0.1243, 0.6270)
Mg (0.1243, 0.6270, 0.1243)
Mg (0.6270, 0.1243, 0.1243)
Zn (0.5000, 0.5000, 0.5000)
Tc (0.7500, 0.7500, 0.7500)

## Properties
The crystal system is cubic. As for the formation energy from the elements: 3.2 eV/f.u. Its energy is -2.473 eV/atom. Its total magnetization is 1.6 μB per formula unit.

---

Computed, not measured: DyHfZnRu after structural relaxation at the PBE level of DFT.

Cell: 4.7743 4.7743 4.7743 Å, 60.00 60.00 60.00°
Fractional coordinates of all 4 atoms:
Dy (0.0000, 0.0000, 0.0000)
Hf (0.5000, 0.5000, 0.5000)
Zn (0.2500, 0.2500, 0.2500)
Ru (0.7500, 0.7500, 0.7500)

## Properties
The crystal system is cubic. As for the formation energy from the elements: -1.4 eV/f.u. Its energy is -6.615 eV/atom. Its total magnetization is 0.0 μB per formula unit.

---

Computed, not measured: Nd3AlSi6Pt2 after structural relaxation at the PBE level of DFT.

Cell: 5.8284 5.8284 8.2108 Å, 90.00 90.00 120.00°
Fractional coordinates of all 12 atoms:
Nd (0.0000, 0.0000, 0.0000)
Nd (0.3333, 0.6667, 0.6303)
Nd (0.6667, 0.3333, 0.3697)
Al (0.0000, 0.0000, 0.5000)
Si (0.1945, 0.3890, 0.2844)
Si (0.1945, 0.8055, 0.2844)
Si (0.3890, 0.1945, 0.7156)
Si (0.6110, 0.8055, 0.2844)
Si (0.8055, 0.1945, 0.7156)
Si (0.8055, 0.6110, 0.7156)
Pt (0.3333, 0.6667, 0.0364)
Pt (0.6667, 0.3333, 0.9636)

## Properties
The crystal system is trigonal. The formation energy without anion corrections is -0.4203 eV/atom. Its energy is -5.642 eV/atom. Its total magnetization is 0.0 μB per formula unit.

---

Computed, not measured: ThCdH8Rh2 after structural relaxation at the PBE level of DFT.

Cell: 4.8260 4.8260 6.2995 Å, 108.38 108.38 52.84°
Fractional coordinates of all 12 atoms:
Th (0.0000, 0.0000, 0.0000)
Cd (0.5000, 0.5000, 0.5000)
H (0.0522, 0.5558, 0.1633)
H (0.2084, 0.2084, 0.3818)
H (0.4442, 0.9478, 0.8367)
H (0.4478, 0.4478, 0.8317)
H (0.5522, 0.5522, 0.1683)
H (0.5558, 0.0522, 0.1633)
H (0.7916, 0.7916, 0.6182)
H (0.9478, 0.4442, 0.8367)
Rh (0.2355, 0.2355, 0.6607)
Rh (0.7645, 0.7645, 0.3393)

## Properties
The crystal system is monoclinic. Its energy is -4.330 eV/atom. Its total magnetization is 0.0 μB per formula unit.

---

Computed, not measured: Sm5ScAs6 after structural relaxation at the PBE level of DFT.

Cell: 7.2134 7.2134 7.2150 Å, 99.61 99.61 120.00°
Fractional coordinates of all 12 atoms:
Sm (0.0000, 0.0000, 0.0000)
Sm (0.1659, 0.8341, 0.5000)
Sm (0.3311, 0.6689, 0.0000)
Sm (0.6689, 0.3311, 0.0000)
Sm (0.8341, 0.1659, 0.5000)
Sc (0.5000, 0.5000, 0.5000)
As (0.0962, 0.4193, 0.2573)
As (0.2588, 0.2588, 0.7449)
As (0.4193, 0.0962, 0.2573)
As (0.5807, 0.9038, 0.7427)
As (0.7412, 0.7412, 0.2551)
As (0.9038, 0.5807, 0.7427)

## Properties
The crystal system is monoclinic. As for the formation energy from the elements: -17.8 eV/f.u. Its energy is -6.298 eV/atom. Its total magnetization is 0.0 μB per formula unit.

---

Computed, not measured: Mg2TiNi after structural relaxation at the PBE level of DFT.

Cell: 4.5234 4.5234 4.5234 Å, 60.00 60.00 60.00°
Fractional coordinates of all 4 atoms:
Mg (0.2500, 0.2500, 0.2500)
Mg (0.7500, 0.7500, 0.7500)
Ti (0.0000, 0.0000, 0.0000)
Ni (0.5000, 0.5000, 0.5000)

## Properties
The crystal system is cubic. As for the formation energy from the elements: 0.7 eV/f.u. Its energy is -4.052 eV/atom. Its total magnetization is 0.0 μB per formula unit.

---

Computed, not measured: SrZn3In after structural relaxation at the PBE level of DFT.

Cell: 4.4929 4.4929 6.4694 Å, 109.96 109.96 90.64°
Fractional coordinates of all 5 atoms:
Sr (0.0000, 0.0000, 0.0000)
Zn (0.2648, 0.7700, 0.5336)
Zn (0.3829, 0.3829, 0.7607)
Zn (0.7700, 0.2648, 0.5336)
In (0.6227, 0.6227, 0.2479)

## Properties
The crystal system is monoclinic. As for the formation energy from the elements: -1.2 eV/f.u. For the energy above the most stable polymorph in this dataset, the calculation gives 0 meV/atom. Its energy is -1.884 eV/atom. Its total magnetization is 0.0 μB per formula unit.

---

Computed, not measured: UAu3 after structural relaxation at the PBE level of DFT.

Cell: 5.0316 5.0316 5.7879 Å, 98.13 98.13 34.53°
Fractional coordinates of all 4 atoms:
U (0.0000, 0.0000, 0.0000)
Au (0.2466, 0.2466, 0.7274)
Au (0.5000, 0.5000, 0.5000)
Au (0.7534, 0.7534, 0.2726)

## Properties
The crystal system is monoclinic. As for the formation energy from the elements: -0.2 eV/f.u. Its energy is -5.339 eV/atom. Its total magnetization is 3.1 μB per formula unit.